# PBE-GGA Pr6Mg3Ni, optimized geometry
data_Pr6Mg3Ni
_chemical_formula_sum 'Pr12 Mg6 Ni2'
_cell_length_a 9.7052
_cell_length_b 11.6730
_cell_length_c 5.3802
_cell_angle_alpha 90.00
_cell_angle_beta 90.00
_cell_angle_gamma 90.00
_space_group_name_H-M_alt 'P n n m'
_space_group_IT_number 58
loop_
_space_group_symop_operation_xyz
'x,y,z'
'-x,-y,-z'
'-x,-y,z'
'x,y,-z'
'x+1/2,-y+1/2,-z+1/2'
'-x+1/2,y+1/2,z+1/2'
'-x+1/2,y+1/2,-z+1/2'
'x+1/2,-y+1/2,z+1/2'
loop_
_atom_site_label
_atom_site_fract_x
_atom_site_fract_y
_atom_site_fract_z
Pr1 0.0107 0.2276 0.0000
Pr2 0.1579 0.0720 0.5000
Pr3 0.1855 0.4040 0.5000
Mg1 0.0000 0.5000 0.0000
Mg2 0.1566 0.7161 0.5000
Ni1 0.0000 0.0000 0.0000
# M_tot	0.00	μB/cell
# E_tot	-78.7	eV per cell
# formation energy from the elements	-10	kJ/mol of formula units
# volume	30.48	Å³ per atom